Record 1
An optimized crystal structure of PmAl4NiAu2, computed with PBE-GGA.

a b c (Å): 9.1171 9.1171 9.1171
angles (deg): 27.51 27.51 27.51
Atoms (fractional coordinates):
Pm: 0.0000 0.0000 0.0000
Al: 0.1362 0.1362 0.1362
Al: 0.4058 0.4058 0.4058
Al: 0.5942 0.5942 0.5942
Al: 0.8638 0.8638 0.8638
Ni: 0.5000 0.5000 0.5000
Au: 0.2421 0.2421 0.2421
Au: 0.7579 0.7579 0.7579

* formation enthalpy at 0 K: -0.522 eV/atom
* uncorrected energy: -36.23 eV/f.u.
* theoretical density: 8.2 g/cm3


Record 2
An optimized crystal structure of Hf3Be2Co7, computed with PBE-GGA.

a b c (Å): 7.8029 7.8029 7.8029
angles (deg): 36.22 36.22 36.22
Atoms (fractional coordinates):
Hf: 0.0000 0.0000 0.0000
Hf: 0.1404 0.1404 0.1404
Hf: 0.8596 0.8596 0.8596
Be: 0.3346 0.3346 0.3346
Be: 0.6654 0.6654 0.6654
Co: 0.0757 0.5803 0.5803
Co: 0.4197 0.4197 0.9243
Co: 0.4197 0.9243 0.4197
Co: 0.5000 0.5000 0.5000
Co: 0.5803 0.0757 0.5803
Co: 0.5803 0.5803 0.0757
Co: 0.9243 0.4197 0.4197

* formation enthalpy at 0 K: -0.381 eV/atom
* uncorrected energy: -91.62 eV/f.u.
* theoretical density: 10.8 g/cm3


Record 3
An optimized crystal structure of GaCoH, computed with PBE-GGA.

a b c (Å): 3.1904 3.1904 27.3311
angles (deg): 90.00 90.00 90.00
Atoms (fractional coordinates):
Ga: 0.2176 0.2527 0.1828
Ga: 0.2176 0.7473 0.3172
Ga: 0.2527 0.2176 0.5672
Ga: 0.2527 0.7824 0.9328
Ga: 0.7473 0.2176 0.4328
Ga: 0.7473 0.7824 0.0672
Ga: 0.7824 0.2527 0.8172
Ga: 0.7824 0.7473 0.6828
Co: 0.2478 0.2829 0.0908
Co: 0.2478 0.7171 0.4092
Co: 0.2829 0.2478 0.6592
Co: 0.2829 0.7522 0.8408
Co: 0.7171 0.2478 0.3408
Co: 0.7171 0.7522 0.1592
Co: 0.7522 0.2829 0.9092
Co: 0.7522 0.7171 0.5908
H: 0.2411 0.2771 0.0352
H: 0.2411 0.7229 0.4648
H: 0.2771 0.2411 0.7148
H: 0.2771 0.7589 0.7852
H: 0.7229 0.2411 0.2852
H: 0.7229 0.7589 0.2148
H: 0.7589 0.2771 0.9648
H: 0.7589 0.7229 0.5352

* excess energy over the best structure of this formula in the dataset: 208 meV per atom
* uncorrected energy: -13.15 eV/f.u.
* theoretical density: 6.2 g/cm3


Record 4
An optimized crystal structure of CsSc2B2S6, computed with PBE-GGA.

a b c (Å): 7.2351 7.2351 7.0760
angles (deg): 117.37 117.37 56.53
Atoms (fractional coordinates):
Cs: 0.0000 0.0000 0.0000
Sc: 0.3312 0.3312 0.6728
Sc: 0.6688 0.6688 0.3272
B: 0.3517 0.3517 0.2653
B: 0.6483 0.6483 0.7347
S: 0.1002 0.5479 0.3716
S: 0.4290 0.4290 0.1078
S: 0.4521 0.8998 0.6284
S: 0.5479 0.1002 0.3716
S: 0.5710 0.5710 0.8922
S: 0.8998 0.4521 0.6284

* uncorrected energy: -62.81 eV/f.u.
* theoretical density: 2.8 g/cm3
* uncorrected formation energy: -1016 meV per atom


Record 5
An optimized crystal structure of CsCaH3, computed with PBE-GGA.

a b c (Å): 5.1522 5.1522 5.1522
angles (deg): 90.00 90.00 90.00
Atoms (fractional coordinates):
Cs: 0.0000 0.0000 0.0000
Ca: 0.5000 0.5000 0.5000
H: 0.0000 0.0000 0.5000
H: 0.0000 0.5000 0.0000
H: 0.5000 0.0000 0.0000

* excess energy over the best structure of this formula in the dataset: 1042 meV per atom
* uncorrected energy: -9.75 eV/f.u.
* theoretical density: 2.1 g/cm3


Record 6
An optimized crystal structure of AlIn2Pt, computed with PBE-GGA.

a b c (Å): 4.6855 4.6855 6.8771
angles (deg): 108.16 108.16 39.62
Atoms (fractional coordinates):
Al: 0.0000 0.0000 0.0000
In: 0.1720 0.1720 0.6418
In: 0.3542 0.3542 0.3500
Pt: 0.7164 0.7164 0.9952

* formation enthalpy at 0 K: -0.322 eV/atom
* uncorrected energy: -16.55 eV/f.u.
* theoretical density: 8.3 g/cm3